Model 1:
BaTaAg2: relaxed, GGA-PBEsol.

Cell and atoms, written as CIF:
```
data_BaTaAg2
_cell_length_a 2.989
_cell_length_b 4.661
_cell_length_c 6.871
_cell_angle_alpha 90.00
_cell_angle_beta 102.52
_cell_angle_gamma 90.00
_symmetry_space_group_name_H-M 'P 1'
_symmetry_Int_Tables_number 1
_symmetry_space_group_name_Hall 'P 1'
loop_
_atom_site_label
_atom_site_type_symbol
_atom_site_fract_x
_atom_site_fract_y
_atom_site_fract_z
Ag1 Ag 0.916 0.500 0.208
Ag2 Ag 0.797 0.000 0.969
Ta1 Ta 0.239 0.500 0.851
Ba1 Ba 0.548 0.000 0.472
```

Calculated values
Space group: No. 38
Fermi-level density of states in states/eV/f.u.: 3.310
Crystal system: orthorhombic

Model 2:
BaTaAg2: relaxed, GGA-PBEsol.

Cell and atoms, written as CIF:
```
data_BaTaAg2
_cell_length_a 3.091
_cell_length_b 3.091
_cell_length_c 10.543
_cell_angle_alpha 81.57
_cell_angle_beta 81.57
_cell_angle_gamma 60.00
_symmetry_space_group_name_H-M 'P 1'
_symmetry_Int_Tables_number 1
_symmetry_space_group_name_Hall 'P 1'
loop_
_atom_site_label
_atom_site_type_symbol
_atom_site_fract_x
_atom_site_fract_y
_atom_site_fract_z
Ag1 Ag 0.261 0.261 0.217
Ag2 Ag 0.739 0.739 0.783
Ba1 Ba 0.500 0.500 0.500
Ta1 Ta 0.000 0.000 0.000
```

Calculated values
Space group: No. 166
Fermi-level density of states in states/eV/f.u.: 3.435
Crystal system: trigonal

What should be chosen as the least stable of them? Choose model 2.

Model 1:
BaTaAg2: relaxed, GGA-PBEsol.

Cell and atoms, written as CIF:
```
data_BaTaAg2
_cell_length_a 3.573
_cell_length_b 4.883
_cell_length_c 4.996
_cell_angle_alpha 90.00
_cell_angle_beta 90.00
_cell_angle_gamma 90.00
_symmetry_space_group_name_H-M 'P 1'
_symmetry_Int_Tables_number 1
_symmetry_space_group_name_Hall 'P 1'
loop_
_atom_site_label
_atom_site_type_symbol
_atom_site_fract_x
_atom_site_fract_y
_atom_site_fract_z
Ta1 Ta 0.000 0.500 0.500
Ba1 Ba 0.500 0.500 0.000
Ag1 Ag 0.000 0.000 0.000
Ag2 Ag 0.500 0.000 0.500
```

Calculated values
Space group: No. 47
Fermi-level density of states in states/eV/f.u.: 3.860
Crystal system: orthorhombic

Model 2:
BaTaAg2: relaxed, GGA-PBEsol.

Cell and atoms, written as CIF:
```
data_BaTaAg2
_cell_length_a 3.004
_cell_length_b 5.418
_cell_length_c 5.418
_cell_angle_alpha 90.00
_cell_angle_beta 90.00
_cell_angle_gamma 90.00
_symmetry_space_group_name_H-M 'P 1'
_symmetry_Int_Tables_number 1
_symmetry_space_group_name_Hall 'P 1'
loop_
_atom_site_label
_atom_site_type_symbol
_atom_site_fract_x
_atom_site_fract_y
_atom_site_fract_z
Ba1 Ba 0.500 0.500 0.500
Ag1 Ag 0.000 0.500 0.000
Ag2 Ag 0.000 0.000 0.500
Ta1 Ta 0.500 0.000 0.000
```

Calculated values
Space group: No. 123
Fermi-level density of states in states/eV/f.u.: 5.332
Crystal system: tetragonal

What should be chosen as the least stable of them? Choose model 1.